The following is a DFT calculation (PBE-GGA) of crystalline CsSnGeTe3 at its relaxed geometry.

Structure (CIF):
```
data_CsSnGeTe3
_symmetry_space_group_name_H-M 'P 1 21/m 1'
_symmetry_Int_Tables_number 11
_cell_length_a 9.759
_cell_length_b 5.047
_cell_length_c 10.566
_cell_angle_alpha 90.00
_cell_angle_beta 109.77
_cell_angle_gamma 90.00
loop_
_symmetry_equiv_pos_as_xyz
'x,y,z'
'-x,-y,-z'
'-x,y+1/2,-z'
'x,-y+1/2,z'
loop_
_atom_site_label
_atom_site_type_symbol
_atom_site_fract_x
_atom_site_fract_y
_atom_site_fract_z
Cs1 Cs 0.239 0.250 0.262
Sn1 Sn 0.334 0.750 0.891
Ge1 Ge 0.105 0.250 0.618
Te1 Te 0.091 0.250 0.861
Te2 Te 0.185 0.750 0.555
Te3 Te 0.494 0.250 0.813
```

Calculated values
crystal system	monoclinic
formation energy without anion corrections	-0.41	eV/atom

=====

The following is a DFT calculation (PBE-GGA) of crystalline Cs2VSnGe at its relaxed geometry.

Structure (CIF):
```
data_Cs2VSnGe
_symmetry_space_group_name_H-M 'P 4/m m m'
_symmetry_Int_Tables_number 123
_symmetry_space_group_name_Hall '-P 4 2'
_cell_length_a 6.091
_cell_length_b 6.091
_cell_length_c 5.270
_cell_angle_alpha 90.00
_cell_angle_beta 90.00
_cell_angle_gamma 90.00
loop_
_atom_site_label
_atom_site_type_symbol
_atom_site_fract_x
_atom_site_fract_y
_atom_site_fract_z
Cs1 Cs 0.000 0.500 0.000
V1 V 0.000 0.000 0.000
Sn1 Sn 0.000 0.000 0.500
Ge1 Ge 0.500 0.500 0.500
```

Calculated values
E_form	902	meV per atom
crystal system	tetragonal

=====

The following is a DFT calculation (PBE-GGA) of crystalline CsSrGe4 at its relaxed geometry.

Structure (CIF):
```
data_CsSrGe4
_symmetry_space_group_name_H-M 'P b a m'
_symmetry_Int_Tables_number 55
_cell_length_a 9.336
_cell_length_b 14.625
_cell_length_c 5.517
_cell_angle_alpha 90.00
_cell_angle_beta 90.00
_cell_angle_gamma 90.00
loop_
_symmetry_equiv_pos_as_xyz
'x,y,z'
'-x,-y,-z'
'-x,-y,z'
'x,y,-z'
'x+1/2,-y+1/2,-z'
'-x+1/2,y+1/2,z'
'-x+1/2,y+1/2,-z'
'x+1/2,-y+1/2,z'
loop_
_atom_site_label
_atom_site_type_symbol
_atom_site_fract_x
_atom_site_fract_y
_atom_site_fract_z
Cs1 Cs 0.140 0.087 0.000
Sr1 Sr 0.112 0.358 0.000
Ge1 Ge 0.038 0.220 0.500
Ge2 Ge 0.099 0.933 0.500
Ge3 Ge 0.140 0.497 0.500
Ge4 Ge 0.176 0.675 0.500
```

Calculated values
E_form	-1	meV per atom
crystal system	orthorhombic

=====

The following is a DFT calculation (PBE-GGA) of crystalline Cs2SrGe at its relaxed geometry.

Structure (CIF):
```
data_Cs2SrGe
_symmetry_space_group_name_H-M 'I -4 2 d'
_symmetry_Int_Tables_number 122
_symmetry_space_group_name_Hall 'I -4 2bw'
_cell_length_a 13.959
_cell_length_b 13.959
_cell_length_c 6.071
_cell_angle_alpha 90.00
_cell_angle_beta 90.00
_cell_angle_gamma 90.00
loop_
_atom_site_label
_atom_site_type_symbol
_atom_site_fract_x
_atom_site_fract_y
_atom_site_fract_z
Cs1 Cs 0.098 0.250 0.125
Sr1 Sr 0.000 0.000 0.500
Ge1 Ge 0.000 0.000 0.000
```

Calculated values
E_form	107	meV per atom
E above lowest polymorph	0.00	eV/f.u.
crystal system	tetragonal

=====

The following is a DFT calculation (PBE-GGA) of crystalline CsSr2Ge2 at its relaxed geometry.

Structure (CIF):
```
data_CsSr2Ge2
_symmetry_space_group_name_H-M 'I 4/m m m'
_symmetry_Int_Tables_number 139
_symmetry_space_group_name_Hall '-I 4 2'
_cell_length_a 5.703
_cell_length_b 5.703
_cell_length_c 11.529
_cell_angle_alpha 90.00
_cell_angle_beta 90.00
_cell_angle_gamma 90.00
loop_
_atom_site_label
_atom_site_type_symbol
_atom_site_fract_x
_atom_site_fract_y
_atom_site_fract_z
Cs1 Cs 0.000 0.000 0.000
Sr1 Sr 0.000 0.500 0.250
Ge1 Ge 0.000 0.000 0.391
```

Calculated values
E_form	-230	meV per atom
crystal system	tetragonal

=====

The following is a DFT calculation (PBE-GGA) of crystalline Cs2SrGe at its relaxed geometry.

Structure (CIF):
```
data_Cs2SrGe
_symmetry_space_group_name_H-M 'F m -3 m'
_symmetry_Int_Tables_number 225
_symmetry_space_group_name_Hall '-F 4 2 3'
_cell_length_a 9.163
_cell_length_b 9.163
_cell_length_c 9.163
_cell_angle_alpha 90.00
_cell_angle_beta 90.00
_cell_angle_gamma 90.00
loop_
_atom_site_label
_atom_site_type_symbol
_atom_site_fract_x
_atom_site_fract_y
_atom_site_fract_z
Cs1 Cs 0.250 0.250 0.250
Sr1 Sr 0.000 0.000 0.000
Ge1 Ge 0.000 0.000 0.500
```

Calculated values
E_form	369	meV per atom
E above lowest polymorph	1.05	eV/f.u.
crystal system	cubic

=====

The following is a DFT calculation (PBE-GGA) of crystalline Cs2SrGeTe4 at its relaxed geometry.

Structure (CIF):
```
data_Cs2SrGeTe4
_symmetry_space_group_name_H-M 'F d d d'
_symmetry_Int_Tables_number 70
_cell_length_a 7.181
_cell_length_b 16.091
_cell_length_c 28.308
_cell_angle_alpha 90.00
_cell_angle_beta 90.00
_cell_angle_gamma 90.00
loop_
_symmetry_equiv_pos_as_xyz
'x,y,z'
'-x,-y,-z'
'-x+1/4,-y+1/4,z'
'x+1/4,y+1/4,-z'
'x,-y+1/4,-z+1/4'
'-x,y+1/4,z+1/4'
'-x+1/4,y,-z+1/4'
'x+1/4,-y,z+1/4'
'x,y+1/2,z+1/2'
'-x,-y+1/2,-z+1/2'
'-x+1/4,-y+3/4,z+1/2'
'x+1/4,y+3/4,-z+1/2'
'x,-y+3/4,-z+3/4'
'-x,y+3/4,z+3/4'
'-x+1/4,y+1/2,-z+3/4'
'x+1/4,-y+1/2,z+3/4'
'x+1/2,y,z+1/2'
'-x+1/2,-y,-z+1/2'
'-x+3/4,-y+1/4,z+1/2'
'x+3/4,y+1/4,-z+1/2'
'x+1/2,-y+1/4,-z+3/4'
'-x+1/2,y+1/4,z+3/4'
'-x+3/4,y,-z+3/4'
'x+3/4,-y,z+3/4'
'x+1/2,y+1/2,z'
'-x+1/2,-y+1/2,-z'
'-x+3/4,-y+3/4,z'
'x+3/4,y+3/4,-z'
'x+1/2,-y+3/4,-z+1/4'
'-x+1/2,y+3/4,z+1/4'
'-x+3/4,y+1/2,-z+1/4'
'x+3/4,-y+1/2,z+1/4'
loop_
_atom_site_label
_atom_site_type_symbol
_atom_site_fract_x
_atom_site_fract_y
_atom_site_fract_z
Cs1 Cs 0.125 0.125 0.311
Sr1 Sr 0.125 0.125 0.125
Ge1 Ge 0.125 0.125 0.625
Te1 Te 0.068 0.274 0.820
```

Calculated values
crystal system	orthorhombic
formation energy without anion corrections	-0.82	eV/atom

=====

The following is a DFT calculation (PBE-GGA) of crystalline CsTa2Ge at its relaxed geometry.

Structure (CIF):
```
data_CsTa2Ge
_symmetry_space_group_name_H-M 'I 41/a m d'
_symmetry_Int_Tables_number 141
_cell_length_a 5.177
_cell_length_b 5.177
_cell_length_c 19.031
_cell_angle_alpha 90.00
_cell_angle_beta 90.00
_cell_angle_gamma 90.00
loop_
_symmetry_equiv_pos_as_xyz
'x,y,z'
'-x,-y,-z'
'-y+1/4,x+3/4,z+1/4'
'y+1/4,-x+3/4,-z+1/4'
'-x+1/2,-y,z+1/2'
'x+1/2,y,-z+1/2'
'y+1/4,-x+1/4,z+3/4'
'-y+1/4,x+1/4,-z+3/4'
'x,-y,-z'
'-x,y,z'
'-y+1/4,-x+1/4,-z+3/4'
'y+1/4,x+1/4,z+3/4'
'-x+1/2,y,-z+1/2'
'x+1/2,-y,z+1/2'
'y+1/4,x+3/4,-z+1/4'
'-y+1/4,-x+3/4,z+1/4'
'x+1/2,y+1/2,z+1/2'
'-x+1/2,-y+1/2,-z+1/2'
'-y+3/4,x+1/4,z+3/4'
'y+3/4,-x+1/4,-z+3/4'
'-x,-y+1/2,z'
'x,y+1/2,-z'
'y+3/4,-x+3/4,z+1/4'
'-y+3/4,x+3/4,-z+1/4'
'x+1/2,-y+1/2,-z+1/2'
'-x+1/2,y+1/2,z+1/2'
'-y+3/4,-x+3/4,-z+1/4'
'y+3/4,x+3/4,z+1/4'
'-x,y+1/2,-z'
'x,-y+1/2,z'
'y+3/4,x+1/4,-z+3/4'
'-y+3/4,-x+1/4,z+3/4'
loop_
_atom_site_label
_atom_site_type_symbol
_atom_site_fract_x
_atom_site_fract_y
_atom_site_fract_z
Cs1 Cs 0.000 0.250 0.375
Ta1 Ta 0.000 0.000 0.000
Ge1 Ge 0.000 0.250 0.875
```

Calculated values
E_form	1315	meV per atom
crystal system	tetragonal

=====

How do the records compare in total moment? In the order shown, they have 0.000, 1.024, 0.000, 0.000, 0.000, 0.000, 0.000, 0.000 μB/atom.